No. 1
4
Lattice="2.841 -4.149 0.000 2.841 4.149 0.000 0.000 0.000 2.879" Properties=species:S:1:pos:R:3 comment="CdRu2Cl GGA-PBE optimized geometry" total_magnetization_mub_per_atom=0.71 e_tot_ev_per_cell=-17.601 dos_at_fermi_per_ev_atom=1.289 e_form_raw_mev_per_atom=928.2 pbc="T T T"
Cd 0.000 0.000 0.000
Ru 1.420 2.074 1.439
Ru 1.420 -2.074 1.439
Cl 2.841 0.000 0.000

---

No. 2
4
Lattice="1.456 0.841 8.565 -1.456 0.841 8.565 0.000 -1.682 8.565" Properties=species:S:1:pos:R:3 comment="CdRu2Cl GGA-PBE optimized geometry" total_magnetization_mub_per_atom=0.00 e_tot_ev_per_cell=-19.158 dos_at_fermi_per_ev_atom=0.754 e_form_raw_mev_per_atom=538.7 pbc="T T T"
Cd 0.000 0.000 0.000
Ru 0.000 0.000 6.231
Ru 0.000 0.000 19.464
Cl 0.000 0.000 12.848

---

No. 3
4
Lattice="5.023 -1.426 0.000 5.023 1.426 0.000 -4.906 0.000 6.100" Properties=species:S:1:pos:R:3 comment="CdRu2Cl GGA-PBE optimized geometry" total_magnetization_mub_per_atom=0.00 e_tot_ev_per_cell=-19.470 dos_at_fermi_per_ev_atom=0.973 e_form_raw_mev_per_atom=460.8 pbc="T T T"
Cd 0.000 0.000 0.000
Ru -2.110 0.000 5.114
Ru 7.249 0.000 0.986
Cl 2.570 0.000 3.050

---

No. 4
4
Lattice="1.433 -2.561 0.000 1.433 2.561 0.000 0.000 0.000 8.862" Properties=species:S:1:pos:R:3 comment="CdRu2Cl GGA-PBE optimized geometry" total_magnetization_mub_per_atom=0.00 e_tot_ev_per_cell=-18.735 dos_at_fermi_per_ev_atom=1.295 e_form_raw_mev_per_atom=644.6 pbc="T T T"
Cd 0.000 0.000 0.000
Ru 1.433 0.000 2.407
Ru 1.433 0.000 6.455
Cl 0.000 0.000 4.431

---

No. 5
8
Lattice="-3.459 3.459 2.899 3.459 -3.459 2.899 3.459 3.459 -2.899" Properties=species:S:1:pos:R:3 comment="CdRu2Cl GGA-PBE optimized geometry" total_magnetization_mub_per_atom=0.00 e_tot_ev_per_cell=-35.570 dos_at_fermi_per_ev_atom=1.191 e_form_raw_mev_per_atom=882.1 pbc="T T T"
Cd 0.000 0.000 0.000
Cd 0.000 3.459 1.449
Ru 1.730 -1.211 2.174
Ru 2.248 1.730 0.725
Ru 1.730 4.671 -0.725
Ru 1.211 1.730 3.624
Cl 3.459 0.000 1.449
Cl 0.000 0.000 2.899

---

No. 6
4
Lattice="2.967 0.000 0.000 0.000 2.967 0.000 0.000 0.000 7.105" Properties=species:S:1:pos:R:3 comment="CdRu2Cl GGA-PBE optimized geometry" total_magnetization_mub_per_atom=0.00 e_tot_ev_per_cell=-18.326 dos_at_fermi_per_ev_atom=1.386 e_form_raw_mev_per_atom=746.8 pbc="T T T"
Cd 0.000 0.000 0.000
Ru 1.484 1.484 2.010
Ru 1.484 1.484 5.095
Cl 0.000 0.000 3.552

---

Volume, record by record: 67.86 62.94 87.38 65.06 138.77 62.56 Å³/cell